(1)
Compound: HoZnGeAu
Source: the Alexandria database
Functional: PBE
Structure: relaxed

The space group is F-43m (No. 216) and the conventional cell measures 6.814, 6.814 and 6.814 Å, with angles of 90.00, 90.00 and 90.00 degrees. The distinct sites, in fractional coordinates, are Ho at (0.000, 0.000, 0.000), Zn at (0.000, 0.000, 0.500), Ge at (0.250, 0.250, 0.750) and Au at (0.250, 0.250, 0.250).

The formation enthalpy at 0 K comes out at -0.47 eV per atom. Its total moment is 0.00 μB/f.u. The density of states at the Fermi level comes out at 0.981 states/eV/f.u.

(2)
Compound: GeAuI2
Source: the Alexandria database
Functional: PBE
Structure: relaxed

The space group is I-42d (No. 122) and the conventional cell measures 5.876, 5.876 and 16.774 Å, with angles of 90.00, 90.00 and 90.00 degrees. The distinct sites, in fractional coordinates, are Ge at (0.000, 0.000, 0.000), Au at (0.000, 0.000, 0.500) and I at (0.243, 0.250, 0.625).

The uncorrected formation energy comes out at 1.2 eV per formula unit. The energy above the lowest structure with this stoichiometry is 0 meV/atom. Its total moment is 0.00 μB/f.u. The density of states at the Fermi level comes out at 1.784 states/eV/f.u.

The following V values (in Å³/f.u.) correspond, in order, to the records above: 79.1, 144.8.